No. 1
Below is crystalline CaNdAl2Si2 at its relaxed geometry, with properties calculated at the PBE level.

Calculated values
**M_tot**: 0.00 μB per formula unit
**Formation energy without anion corrections**: -0.482 eV/atom

abc: 4.200 4.200 8.659
angles: 90.00 90.00 120.00
Atoms (fractional coordinates):
1 Al 0.667 0.333 0.247
2 Si 0.333 0.667 0.256
3 Si 0.667 0.333 0.744
4 Ca 0.000 0.000 0.500
5 Nd 0.000 0.000 0.000
6 Al 0.333 0.667 0.753


No. 2
Below is crystalline PmDy9Sc2 at its relaxed geometry, with properties calculated at the PBE level.

Calculated values
**Offset from the most stable computed form**: 0.002 eV per atom
**Formation enthalpy at 0 K**: 0.4 eV per formula unit
**M_tot**: 0.00 μB per formula unit

abc: 4.963 4.963 14.850
angles: 90.00 90.00 90.00
Atoms (fractional coordinates):
1 Sc 0.000 0.000 0.336
2 Dy 0.500 0.500 0.337
3 Dy 0.500 0.500 0.000
4 Dy 0.500 0.000 0.500
5 Dy 0.000 0.500 0.827
6 Pm 0.000 0.000 0.000
7 Dy 0.500 0.500 0.663
8 Sc 0.000 0.000 0.664
9 Dy 0.500 0.000 0.173
10 Dy 0.500 0.000 0.827
11 Dy 0.000 0.500 0.500
12 Dy 0.000 0.500 0.173


No. 3
Below is crystalline Nb2SiPt2 at its relaxed geometry, with properties calculated at the PBE level.

Calculated values
**M_tot**: 0.00 μB per formula unit
**Formation energy without anion corrections**: -0.369 eV/atom

abc: 6.306 6.306 4.265
angles: 90.00 90.00 90.00
Atoms (fractional coordinates):
1 Si 0.500 0.500 0.000
2 Pt 0.352 0.852 0.000
3 Nb 0.831 0.331 0.500
4 Nb 0.169 0.669 0.500
5 Pt 0.648 0.148 0.000
6 Nb 0.331 0.169 0.500
7 Nb 0.669 0.831 0.500
8 Si 0.000 0.000 0.000
9 Pt 0.852 0.648 0.000
10 Pt 0.148 0.352 0.000


No. 4
Below is crystalline Ag2IrBr at its relaxed geometry, with properties calculated at the PBE level.

Calculated values
**Offset from the most stable computed form**: 0.294 eV per atom
**M_tot**: 0.00 μB per formula unit
**Formation energy without anion corrections**: 0.739 eV/atom

abc: 4.540 4.006 4.006
angles: 90.00 90.00 90.00
Atoms (fractional coordinates):
1 Ag 0.000 0.500 0.500
2 Br 0.500 0.500 0.000
3 Ir 0.500 0.000 0.500
4 Ag 0.000 0.000 0.000


No. 5
Below is crystalline ScCu9Au2 at its relaxed geometry, with properties calculated at the PBE level.

Calculated values
**Formation enthalpy at 0 K**: -1.1 eV per formula unit
**M_tot**: 0.00 μB per formula unit

abc: 4.916 4.916 8.508
angles: 73.21 73.21 60.00
Atoms (fractional coordinates):
1 Cu 0.414 0.414 0.253
2 Au 0.859 0.859 0.424
3 Sc 0.000 0.000 0.000
4 Au 0.141 0.141 0.576
5 Cu 0.666 0.666 0.001
6 Cu 0.414 0.919 0.253
7 Cu 0.586 0.081 0.747
8 Cu 0.586 0.586 0.747
9 Cu 0.081 0.586 0.747
10 Cu 0.919 0.414 0.253
11 Cu 0.500 0.500 0.500
12 Cu 0.334 0.334 0.999


No. 6
Below is crystalline NaLiPm at its relaxed geometry, with properties calculated at the PBE level.

Calculated values
**Offset from the most stable computed form**: 0.071 eV per atom
**Formation enthalpy at 0 K**: 0.6 eV per formula unit
**M_tot**: 0.00 μB per formula unit

abc: 3.355 3.355 16.266
angles: 95.92 95.92 90.00
Atoms (fractional coordinates):
1 Pm 0.447 0.447 0.894
2 Li 0.871 0.871 0.741
3 Na 0.705 0.705 0.410
4 Pm 0.553 0.553 0.106
5 Na 0.295 0.295 0.590
6 Li 0.129 0.129 0.259


No. 7
Below is crystalline Sm7Cd2Sb2 at its relaxed geometry, with properties calculated at the PBE level.

Calculated values
**M_tot**: 0.00 μB per formula unit
**Formation energy without anion corrections**: -0.137 eV/atom

abc: 7.527 6.694 7.527
angles: 90.00 97.91 90.00
Atoms (fractional coordinates):
1 Cd 0.273 0.000 0.727
2 Sm 0.000 0.739 0.500
3 Sm 0.500 0.745 0.500
4 Sb 0.796 0.500 0.796
5 Sm 0.500 0.255 0.500
6 Sm 0.000 0.261 0.500
7 Sm 0.000 0.000 0.000
8 Cd 0.727 0.000 0.273
9 Sm 0.500 0.261 0.000
10 Sb 0.204 0.500 0.204
11 Sm 0.500 0.739 0.000


No. 8
Below is crystalline RhCl2F at its relaxed geometry, with properties calculated at the PBE level.

Calculated values
**Offset from the most stable computed form**: 0.558 eV per atom
**M_tot**: 0.00 μB per formula unit
**Formation energy without anion corrections**: -0.287 eV/atom

abc: 7.499 7.499 7.499
angles: 27.46 27.46 27.46
Atoms (fractional coordinates):
1 Cl 0.893 0.893 0.893
2 F 0.000 0.000 0.000
3 Rh 0.500 0.500 0.500
4 Cl 0.107 0.107 0.107


No. 9
Below is crystalline ReSi2Bi at its relaxed geometry, with properties calculated at the PBE level.

Calculated values
**M_tot**: 0.00 μB per formula unit
**Formation energy without anion corrections**: 0.549 eV/atom

abc: 4.763 4.763 8.567
angles: 73.86 73.86 90.00
Atoms (fractional coordinates):
1 Bi 0.000 0.000 0.000
2 Si 0.875 0.731 0.750
3 Si 0.269 0.625 0.250
4 Bi 0.750 0.250 0.500
5 Re 0.250 0.750 0.500
6 Si 0.481 0.125 0.250
7 Re 0.500 0.500 0.000
8 Si 0.375 0.519 0.750


No. 10
Below is crystalline PmNd5Bi5 at its relaxed geometry, with properties calculated at the PBE level.

Calculated values
**Formation enthalpy at 0 K**: -8.4 eV per formula unit
**M_tot**: 0.00 μB per formula unit

abc: 6.462 7.886 9.115
angles: 106.84 90.00 114.19
Atoms (fractional coordinates):
1 Bi 0.500 0.000 0.000
2 Nd 0.665 0.329 0.831
3 Nd 0.000 0.000 0.500
4 Nd 0.335 0.671 0.169
5 Bi 0.832 0.663 0.166
6 Bi 0.166 0.333 0.334
7 Pm 0.000 0.000 0.000
8 Bi 0.168 0.337 0.834
9 Nd 0.333 0.665 0.666
10 Nd 0.667 0.335 0.334
11 Bi 0.834 0.667 0.666


No. 11
Below is crystalline Sc3SiH at its relaxed geometry, with properties calculated at the PBE level.

Calculated values
**Offset from the most stable computed form**: 0.000 eV per atom
**M_tot**: 1.27 μB per formula unit

abc: 4.312 4.312 4.312
angles: 90.00 90.00 90.00
Atoms (fractional coordinates):
1 Sc 0.000 0.500 0.000
2 Sc 0.500 0.000 0.000
3 Sc 0.000 0.000 0.500
4 Si 0.500 0.500 0.500
5 H 0.000 0.000 0.000